No. 1
A plane-wave DFT calculation with PBE was carried out for a geometry-optimized KHoSnCl6 structure.

## Properties
For the uncorrected formation energy, the calculation gives -1.820 eV/atom. The total energy is -37.14 eV per cell. Its symmetry is P312.

abc: 7.226 7.226 6.780
angles: 90.00 90.00 60.00
Fractional coordinates of all 9 atoms:
K 0.000 0.000 0.000
Sn 0.667 0.667 0.500
Cl 0.354 0.623 0.277
Cl 0.023 0.623 0.723
Cl 0.023 0.354 0.277
Cl 0.623 0.023 0.277
Cl 0.354 0.023 0.723
Cl 0.623 0.354 0.723
Ho 0.333 0.333 0.500

=====

No. 2
A plane-wave DFT calculation with PBE was carried out for a geometry-optimized LiMn6Rh5 structure.

## Properties
The total energy is -95.01 eV per cell. As for the formation enthalpy at 0 K: -0.111 eV/atom. Its symmetry is Cmmm.

abc: 4.317 5.999 6.830
angles: 90.00 71.57 90.00
Fractional coordinates of all 12 atoms:
Li 0.000 0.000 0.000
Mn 0.833 0.751 0.334
Mn 0.167 0.751 0.666
Mn 0.500 0.751 0.000
Mn 0.500 0.249 0.000
Mn 0.167 0.249 0.666
Mn 0.833 0.249 0.334
Rh 0.335 0.000 0.329
Rh 0.665 0.000 0.671
Rh 0.665 0.500 0.670
Rh 0.335 0.500 0.330
Rh 0.000 0.500 0.000